No. 1
10
Lattice="8.6341 0.0000 0.0000 0.0000 8.6341 0.0000 0.0000 0.0000 3.7126" Properties=species:S:1:pos:R:3 comment="RbSi2Sb2, relaxed, DFT PBE" m_tot_mub_per_cell=0.00 spacegroup="P4/mbm (127)" de_polymorph_mev_per_atom=162 e_form_raw_ev_per_atom=0.24 pbc="T T T"
Sb 1.3004 5.6175 1.8563
Sb 5.6175 7.3336 1.8563
Sb 7.3336 3.0166 1.8563
Sb 3.0166 1.3004 1.8563
Si 3.4157 7.7327 0.0000
Si 7.7327 5.2184 0.0000
Si 5.2184 0.9014 0.0000
Si 0.9014 3.4157 0.0000
Rb 0.0000 0.0000 0.0000
Rb 4.3170 4.3170 0.0000

No. 2
10
Lattice="-1.6076 -6.0678 4.3186 6.7315 0.7067 3.4987 -2.5020 3.5749 4.0916" Properties=species:S:1:pos:R:3 comment="Rb2SiSb2, relaxed, DFT PBE" m_tot_mub_per_cell=0.00 spacegroup="P4/mbm (127)" e_form_raw_ev_per_atom=-0.03 pbc="T T T"
Sb 5.2287 -1.5958 4.5916
Sb 2.8958 -4.7903 5.9561
Sb -0.1048 -3.7653 3.2258
Sb 2.2281 -0.5708 1.8612
Si 0.0000 0.0000 0.0000
Si 2.5620 -2.6806 3.9087
Rb 3.0065 1.2078 5.1556
Rb 3.2255 -1.7187 7.8465
Rb -0.3845 -2.9940 6.7533
Rb -0.6035 -0.0675 4.0624

No. 3
4
Lattice="-0.0870 -2.2395 -6.1651 -3.8684 -5.0501 -1.6008 -5.2998 0.9965 -3.7771" Properties=species:S:1:pos:R:3 comment="RbSiSb2, relaxed, DFT PBE" m_tot_mub_per_cell=0.00 spacegroup="R-3m (166)" e_form_raw_ev_per_atom=0.35 pbc="T T T"
Sb -3.5286 -0.5277 -3.2484
Sb -5.7265 -5.7653 -8.2946
Si 0.0000 0.0000 0.0000
Rb -4.6276 -3.1465 -5.7715